Entry from Alexandria via LeMat-Bulk: a relaxed structure of Ti5Ga4H (PBE-GGA).

a = 8.5547 Å, b = 8.5547 Å, c = 4.0565 Å
α = 90.00°, β = 90.00°, γ = 90.00°
With the nearest neighbours (Å) after each atom.
Space group I4/mmm (No. 139)
Inequivalent atoms, fractional coordinates:
1 Ti 0.0000 0.0000 0.0000  2 H 2.03
2 Ti 0.1719 0.1719 0.5000  1 H 2.08
3 Ga 0.0000 0.3194 0.0000  7 Ti 2.73-2.81, 4 Ga 2.98
4 H 0.0000 0.0000 0.5000  6 Ti 2.03-2.08

## Properties
M_tot = 0.00 μB/f.u.

***

Entry from Alexandria via LeMat-Bulk: a relaxed structure of Ti5Ga5H2 (PBE-GGA).

a = 9.2059 Å, b = 3.7210 Å, c = 10.3870 Å
α = 90.00°, β = 109.64°, γ = 90.00°
With the nearest neighbours (Å) after each atom.
Space group C2/m (No. 12)
Inequivalent atoms, fractional coordinates:
1 Ti 0.0000 0.0000 0.0000  2 H 1.97
2 Ti 0.0246 0.5000 0.7960  2 H 2.00
3 Ti 0.1652 0.0000 0.3989  1 H 1.97
4 Ga 0.0000 0.5000 0.5000  4 Ga 2.64, 6 Ti 2.82-2.90
5 Ga 0.1631 0.0000 0.6675  3 Ga 2.51-2.64, 3 Ti 2.68-2.80, 1 H 2.78
6 Ga 0.2256 0.5000 0.0760  3 Ga 2.51-2.58, 2 Ti 2.70
7 H 0.0540 0.0000 0.1999  4 Ti 1.97-2.00

## Properties
M_tot = 0.00 μB/f.u.

***

no.,E (eV for the cell shown)
1,-116.55
2,-130.89